Below is a relaxed structure of TlFeHg4, with properties calculated at the PBE level.

Properties
ΔH_f (0 K): 0.5286 eV per atom
SG: F-43m
Total magnetic moment: 3.308 μB per formula unit
V: 153.1 Å³ per cell

a b c (Å): 6.0044 6.0044 6.0044
angles (deg): 60.00 60.00 60.00
Site moments in Bohr magnetons follow the coordinates.
Element x y z (fractional)
Tl 0.7500 0.7500 0.7500  -0.01
Fe 0.0000 0.0000 0.0000  3.22
Hg 0.8765 0.3745 0.3745  0.00
Hg 0.3745 0.3745 0.8765  0.00
Hg 0.3745 0.8765 0.3745  0.00
Hg 0.3745 0.3745 0.3745  0.00